#w
The following is a PBE calculation of MgSbP2 after structural relaxation, from Alexandria via LeMat-Bulk.

Lattice parameters (Å, degrees): 4.902 3.729 5.051 90.00 104.43 90.00
Positions (direct):
Mg (0.000, 0.000, 0.000)
Sb (0.500, 0.000, 0.500)
P (0.320, 0.500, 0.824)
P (0.680, 0.500, 0.176)

Values from the calculation:
Space-group type: P2/m (10)
Crystal system: monoclinic

***

#x
The following is a PBE calculation of MgSbP2 after structural relaxation, from Alexandria via LeMat-Bulk.

Lattice parameters (Å, degrees): 3.178 3.178 26.812 90.00 90.00 120.00
Positions (direct):
Mg (0.000, 0.000, 0.000)
Mg (0.333, 0.667, 0.667)
Mg (0.667, 0.333, 0.333)
Sb (0.000, 0.000, 0.500)
Sb (0.333, 0.667, 0.167)
Sb (0.667, 0.333, 0.833)
P (0.000, 0.000, 0.260)
P (0.000, 0.000, 0.740)
P (0.333, 0.667, 0.407)
P (0.333, 0.667, 0.926)
P (0.667, 0.333, 0.074)
P (0.667, 0.333, 0.593)

Values from the calculation:
Space-group type: R-3m (166)
Crystal system: trigonal

***

#y
The following is a PBE calculation of MgSbP2 after structural relaxation, from Alexandria via LeMat-Bulk.

Lattice parameters (Å, degrees): 3.652 3.652 21.077 90.00 90.00 120.00
Positions (direct):
Mg (0.000, 0.000, 0.000)
Mg (0.333, 0.667, 0.667)
Mg (0.667, 0.333, 0.333)
Sb (0.000, 0.000, 0.227)
Sb (0.333, 0.667, 0.894)
Sb (0.667, 0.333, 0.560)
P (0.000, 0.000, 0.476)
P (0.000, 0.000, 0.747)
P (0.333, 0.667, 0.143)
P (0.333, 0.667, 0.413)
P (0.667, 0.333, 0.080)
P (0.667, 0.333, 0.810)

Values from the calculation:
Space-group type: R3m (160)
Crystal system: trigonal

***

#z
The following is a PBE calculation of MgSbP2 after structural relaxation, from Alexandria via LeMat-Bulk.

Lattice parameters (Å, degrees): 6.065 7.113 3.546 90.00 90.00 90.00
Positions (direct):
Mg (0.000, 0.000, 0.000)
Mg (0.500, 0.500, 0.000)
Sb (0.000, 0.500, 0.000)
Sb (0.500, 0.000, 0.000)
P (0.250, 0.250, 0.500)
P (0.250, 0.750, 0.500)
P (0.750, 0.250, 0.500)
P (0.750, 0.750, 0.500)

Values from the calculation:
Space-group type: Cmmm (65)
Crystal system: orthorhombic

***

Taking the most stable structure as the zero point, the relative energies in kJ/mol of atoms are #w 0.0; #x 39.5; #y 13.9; #z 27.6.

***

#w
The following is a PBE calculation of Mg3SbP after structural relaxation, from Alexandria via LeMat-Bulk.

Lattice parameters (Å, degrees): 5.218 5.218 5.218 90.00 90.00 90.00
Positions (direct):
Mg (0.000, 0.000, 0.500)
Mg (0.000, 0.500, 0.000)
Mg (0.500, 0.000, 0.000)
Sb (0.000, 0.000, 0.000)
P (0.500, 0.500, 0.500)

Values from the calculation:
Space-group type: Pm-3m (221)
Crystal system: cubic

***

#x
The following is a PBE calculation of Mg3SbP after structural relaxation, from Alexandria via LeMat-Bulk.

Lattice parameters (Å, degrees): 4.883 4.883 4.883 90.00 90.00 90.00
Positions (direct):
Mg (0.000, 0.000, 0.500)
Mg (0.000, 0.500, 0.000)
Mg (0.500, 0.000, 0.000)
Sb (0.500, 0.500, 0.500)
P (0.000, 0.000, 0.000)

Values from the calculation:
Space-group type: Pm-3m (221)
Crystal system: cubic

***

Taking the most stable structure as the zero point, the relative energies in kJ/mol of atoms are #w 71.8; #x 0.0.